The following is a DFT calculation (GGA+U) of a relaxed CaCrBi2O6 crystal.

Cell: 5.6192 5.6192 5.8625 Å, 117.27 117.27 60.34°
Last column: nearest neighbours and their distance in Å.
Fractional positions:
Ca 0.0000 0.0000 0.0000  6 O 2.28-2.41
Cr 0.5000 0.5000 0.5000  6 O 1.91-1.99
Bi 0.2423 0.2423 0.6996  5 O 2.33-2.61
Bi 0.7577 0.7577 0.3004  5 O 2.33-2.61
O 0.1830 0.6619 0.6548  1 Cr 1.99
O 0.2883 0.2883 0.1809  1 Cr 1.91
O 0.3381 0.8170 0.3452  1 Cr 1.99
O 0.6619 0.1830 0.6548  1 Cr 1.99
O 0.7117 0.7117 0.8191  1 Cr 1.91
O 0.8170 0.3381 0.3452  1 Cr 1.99

Results
The volume is 13.64 A^3/atom. The density of states at the Fermi level is 0.391 states/eV/f.u. For the spin magnetization, the calculation gives 2.00 μB/f.u. The symmetry is C2/m (12). The total energy is -63.437 eV/f.u.